A relaxed CeCr2H7 crystal. Source: Alexandria via LeMat-Bulk, functional PBE-GGA.

Properties
E_tot: -4.97 eV/atom
Total moment: 5.6 μB/f.u.
Density of states at the Fermi level: 6.79 states/eV per cell

Cell lengths 3.375, 5.080, 5.342 Å; angles 118.39, 90.00, 90.00 degrees
Last column: magnetic moment on the atom in μB.
Fractional coordinates of all 10 atoms:
1 Ce 0.000 0.000 0.000  0.86
2 Cr 0.500 0.318 0.635  2.22
3 Cr 0.500 0.682 0.365  2.22
4 H 0.000 0.365 0.730  -0.02
5 H 0.000 0.635 0.270  -0.02
6 H 0.500 0.321 0.302  -0.02
7 H 0.500 0.679 0.698  -0.02
8 H 0.500 0.019 0.698  -0.02
9 H 0.500 0.981 0.302  -0.02
10 H 0.500 0.500 0.000  -0.03

A relaxed CeCrH6 crystal. Source: Alexandria via LeMat-Bulk, functional PBE-GGA.

Properties
E_tot: -4.60 eV/atom
Total moment: 2.0 μB/f.u.
Density of states at the Fermi level: 6.22 states/eV per cell

Cell lengths 4.711, 4.711, 4.711 Å; angles 56.43, 56.43, 56.43 degrees
Last column: magnetic moment on the atom in μB.
Fractional coordinates of all 8 atoms:
1 Ce 0.500 0.500 0.500  -0.61
2 Cr 0.000 0.000 0.000  2.46
3 H 0.906 0.906 0.437  -0.01
4 H 0.906 0.437 0.906  -0.01
5 H 0.437 0.906 0.906  -0.01
6 H 0.094 0.094 0.563  -0.01
7 H 0.094 0.563 0.094  -0.01
8 H 0.563 0.094 0.094  -0.01